# TmMg | OQMD via LeMat-Bulk | PBE-GGA | optimized geometry
data_TmMg
_chemical_formula_sum 'Tm4 Mg4'
_cell_length_a 7.0648
_cell_length_b 7.0648
_cell_length_c 7.0648
_cell_angle_alpha 90.00
_cell_angle_beta 90.00
_cell_angle_gamma 90.00
_space_group_name_H-M_alt 'F -4 3 m'
_space_group_IT_number 216
_space_group_name_Hall 'F -4 2 3'
loop_
_atom_site_label
_atom_site_type_symbol
_atom_site_fract_x
_atom_site_fract_y
_atom_site_fract_z
Tm1 Tm 0.0000 0.0000 0.0000
Mg1 Mg 0.2500 0.2500 0.2500
# calculated volume	353	Å³/cell
# crystal system	cubic
# energy	-0.12699	Ry per atom